Here is a relaxed CdPRu crystal from Alexandria via LeMat-Bulk. Energies are from PBE-GGA.

Geometry as CIF:
```
data_CdPRu
_chemical_formula_sum 'Cd4 P4 Ru4'
_cell_length_a 5.892
_cell_length_b 5.892
_cell_length_c 5.892
_cell_angle_alpha 90.00
_cell_angle_beta 90.00
_cell_angle_gamma 90.00
_space_group_name_H-M_alt 'P 1'
_space_group_IT_number 1
loop_
_space_group_symop_operation_xyz
'x,y,z'
loop_
_atom_site_label
_atom_site_fract_x
_atom_site_fract_y
_atom_site_fract_z
Cd1 0.000 0.000 0.000
Cd2 0.000 0.500 0.500
Cd3 0.500 0.000 0.500
Cd4 0.500 0.500 0.000
P1 0.250 0.250 0.250
P2 0.250 0.750 0.750
P3 0.750 0.250 0.750
P4 0.750 0.750 0.250
Ru1 0.000 0.000 0.500
Ru2 0.000 0.500 0.000
Ru3 0.500 0.000 0.000
Ru4 0.500 0.500 0.500
```

---

Here is a relaxed CdPRu crystal from Alexandria via LeMat-Bulk. Energies are from PBE-GGA.

Geometry as CIF:
```
data_CdPRu
_chemical_formula_sum 'Cd1 P1 Ru1'
_cell_length_a 3.948
_cell_length_b 3.948
_cell_length_c 3.801
_cell_angle_alpha 90.00
_cell_angle_beta 90.00
_cell_angle_gamma 120.00
_space_group_name_H-M_alt 'P 1'
_space_group_IT_number 1
loop_
_space_group_symop_operation_xyz
'x,y,z'
loop_
_atom_site_label
_atom_site_fract_x
_atom_site_fract_y
_atom_site_fract_z
Cd1 0.000 0.000 0.000
P1 0.333 0.667 0.500
Ru1 0.667 0.333 0.500
```

---

Here is a relaxed Cd2PRu crystal from Alexandria via LeMat-Bulk. Energies are from PBE-GGA.

Geometry as CIF:
```
data_Cd2PRu
_chemical_formula_sum 'Cd2 P1 Ru1'
_cell_length_a 3.664
_cell_length_b 3.664
_cell_length_c 5.247
_cell_angle_alpha 90.00
_cell_angle_beta 90.00
_cell_angle_gamma 90.00
_space_group_name_H-M_alt 'P 1'
_space_group_IT_number 1
loop_
_space_group_symop_operation_xyz
'x,y,z'
loop_
_atom_site_label
_atom_site_fract_x
_atom_site_fract_y
_atom_site_fract_z
Cd1 0.000 0.000 0.249
Cd2 0.000 0.000 0.751
P1 0.500 0.500 0.500
Ru1 0.500 0.500 0.000
```

---

Here is a relaxed Cd2PRu crystal from Alexandria via LeMat-Bulk. Energies are from PBE-GGA.

Geometry as CIF:
```
data_Cd2PRu
_chemical_formula_sum 'Cd8 P4 Ru4'
_cell_length_a 8.789
_cell_length_b 8.789
_cell_length_c 4.466
_cell_angle_alpha 90.00
_cell_angle_beta 90.00
_cell_angle_gamma 90.00
_space_group_name_H-M_alt 'P 1'
_space_group_IT_number 1
loop_
_space_group_symop_operation_xyz
'x,y,z'
loop_
_atom_site_label
_atom_site_fract_x
_atom_site_fract_y
_atom_site_fract_z
Cd1 0.146 0.250 0.125
Cd2 0.250 0.646 0.375
Cd3 0.250 0.854 0.875
Cd4 0.354 0.250 0.625
Cd5 0.646 0.750 0.625
Cd6 0.750 0.146 0.875
Cd7 0.750 0.354 0.375
Cd8 0.854 0.750 0.125
P1 0.000 0.000 0.000
P2 0.000 0.500 0.250
P3 0.500 0.000 0.750
P4 0.500 0.500 0.500
Ru1 0.000 0.000 0.500
Ru2 0.000 0.500 0.750
Ru3 0.500 0.000 0.250
Ru4 0.500 0.500 0.000
```

---

Here is a relaxed Cd2PRu crystal from Alexandria via LeMat-Bulk. Energies are from PBE-GGA.

Geometry as CIF:
```
data_Cd2PRu
_chemical_formula_sum 'Cd4 P2 Ru2'
_cell_length_a 10.716
_cell_length_b 3.113
_cell_length_c 4.784
_cell_angle_alpha 90.00
_cell_angle_beta 107.78
_cell_angle_gamma 90.00
_space_group_name_H-M_alt 'P 1'
_space_group_IT_number 1
loop_
_space_group_symop_operation_xyz
'x,y,z'
loop_
_atom_site_label
_atom_site_fract_x
_atom_site_fract_y
_atom_site_fract_z
Cd1 0.000 0.000 0.000
Cd2 0.194 0.000 0.658
Cd3 0.500 0.500 0.000
Cd4 0.694 0.500 0.658
P1 0.296 0.500 0.275
P2 0.796 0.000 0.275
Ru1 0.450 0.000 0.472
Ru2 0.950 0.500 0.472
```

---

Here is a relaxed Cd2PRu crystal from Alexandria via LeMat-Bulk. Energies are from PBE-GGA.

Geometry as CIF:
```
data_Cd2PRu
_chemical_formula_sum 'Cd2 P1 Ru1'
_cell_length_a 2.992
_cell_length_b 2.992
_cell_length_c 8.117
_cell_angle_alpha 90.00
_cell_angle_beta 90.00
_cell_angle_gamma 90.00
_space_group_name_H-M_alt 'P 1'
_space_group_IT_number 1
loop_
_space_group_symop_operation_xyz
'x,y,z'
loop_
_atom_site_label
_atom_site_fract_x
_atom_site_fract_y
_atom_site_fract_z
Cd1 0.000 0.000 0.000
Cd2 0.500 0.500 0.308
P1 0.000 0.000 0.604
Ru1 0.500 0.500 0.743
```

---

Number 1: formation energy 280 meV per atom, total magnetic moment 0.00 μB per cell. Number 2: formation energy -86 meV per atom, total magnetic moment 0.00 μB per cell. Number 3: formation energy 360 meV per atom, total magnetic moment 0.00 μB per cell. Number 4: formation energy 418 meV per atom, total magnetic moment 0.00 μB per cell. Number 5: formation energy 32 meV per atom, total magnetic moment 0.00 μB per cell. Number 6: formation energy -105 meV per atom, total magnetic moment 0.00 μB per cell.